Entry 1:
## LaV2TcPb (PBE)

Data for crystalline LaV2TcPb at its relaxed geometry.

Lattice parameters (Å, degrees): 4.8926 4.8926 5.8637 90.00 90.00 90.00
Last column: nearest neighbours and their distance in Å.
Element x y z (fractional)
La1 0.0000 0.0000 0.0000  2 Pb 2.93
V1 0.0000 0.5000 0.5000  2 Pb 2.45
V2 0.5000 0.0000 0.5000  2 Pb 2.45
Tc1 0.5000 0.5000 0.0000  4 La 3.46, 8 V 3.82
Pb1 0.0000 0.0000 0.5000  4 V 2.45

Space group: P4/mmm
Formation energy (eV/atom): 2.09
Total energy (eV for the cell shown): -26.81
Theoretical density (kg/m3): 6459

=====

Entry 2:
## La2YTcPb (PBE)

Data for crystalline La2YTcPb at its relaxed geometry.

Lattice parameters (Å, degrees): 5.3419 5.3419 5.5220 90.00 90.00 90.00
Last column: nearest neighbours and their distance in Å.
Element x y z (fractional)
La1 0.0000 0.5000 0.0000  2 Tc 2.67
La2 0.5000 0.0000 0.0000  2 Tc 2.67
Y1 0.0000 0.0000 0.5000  2 Tc 2.76
Tc1 0.0000 0.0000 0.0000  4 La 2.67, 2 Y 2.76
Pb1 0.5000 0.5000 0.5000  4 Y 3.78, 8 La 3.84

Space group: P4/mmm
Formation energy (eV/atom): -0.20
Total energy (eV for the cell shown): -31.38
Theoretical density (kg/m3): 7081

=====

Entry 3:
## La4TePb (PBE)

Data for crystalline La4TePb at its relaxed geometry.

Lattice parameters (Å, degrees): 10.2162 10.2162 8.0421 112.81 112.81 33.01
Last column: nearest neighbours and their distance in Å.
Element x y z (fractional)
La1 0.0736 0.5704 0.9250  3 Te 3.13-3.39, 1 Pb 3.41, 3 La 3.45-3.49
La2 0.1746 0.6781 0.5432  3 Pb 3.22-3.37, 1 Te 3.33, 3 La 3.41-3.46
La3 0.3219 0.8254 0.9568  3 Pb 3.22-3.37, 1 Te 3.33, 3 La 3.41-3.46
La4 0.4296 0.9264 0.5750  3 Te 3.13-3.39, 1 Pb 3.41, 3 La 3.45-3.49
La5 0.5704 0.0736 0.4250  3 Te 3.13-3.39, 1 Pb 3.41, 3 La 3.45-3.49
La6 0.6781 0.1746 0.0432  3 Pb 3.22-3.37, 1 Te 3.33, 3 La 3.41-3.46
La7 0.8254 0.3219 0.4568  3 Pb 3.22-3.37, 1 Te 3.33, 3 La 3.41-3.46
La8 0.9264 0.4296 0.0750  3 Te 3.13-3.39, 1 Pb 3.41, 3 La 3.45-3.49
Te1 0.0000 0.5000 0.5000  8 La 3.13-3.39
Te2 0.5000 0.0000 0.0000  8 La 3.13-3.39
Pb1 0.2521 0.7479 0.2500  8 La 3.22-3.41
Pb2 0.7479 0.2521 0.7500  8 La 3.22-3.41

Space group: C2/c
Formation energy without anion corrections (meV per atom): -559
Distance to the lowest polymorph of the same formula (meV per atom): 0
Total energy (eV for the cell shown): -59.82
Theoretical density (kg/m3): 7071

=====

Entry 4:
## La5Te4Pb (PBE)

Data for crystalline La5Te4Pb at its relaxed geometry.

Lattice parameters (Å, degrees): 7.9853 7.9853 7.9853 99.56 99.56 131.91
Last column: nearest neighbours and their distance in Å.
Element x y z (fractional)
La1 0.0000 0.0000 0.0000  2 Pb 3.25, 4 Te 3.27
La2 0.2018 0.6001 0.8019  1 Pb 3.24, 5 Te 3.25-3.27
La3 0.3999 0.2018 0.6018  1 Pb 3.24, 5 Te 3.25-3.27
La4 0.6001 0.7982 0.3982  1 Pb 3.24, 5 Te 3.25-3.27
La5 0.7982 0.3999 0.1981  1 Pb 3.24, 5 Te 3.25-3.27
Te1 0.0997 0.3007 0.4004  6 La 3.25-3.27
Te2 0.3007 0.9003 0.2010  6 La 3.25-3.27
Te3 0.6993 0.0997 0.7990  6 La 3.25-3.27
Te4 0.9003 0.6993 0.5996  6 La 3.25-3.27
Pb1 0.5000 0.5000 0.0000  6 La 3.24-3.25

Space group: I4/m
Formation energy without anion corrections (meV per atom): -1428
Total energy (eV for the cell shown): -55.19
Theoretical density (kg/m3): 6776

=====

Entry 5:
## La2TePb (PBE)

Data for crystalline La2TePb at its relaxed geometry.

Lattice parameters (Å, degrees): 5.5451 5.5451 4.1336 90.00 90.00 100.49
Last column: nearest neighbours and their distance in Å.
Element x y z (fractional)
La1 0.0000 0.5000 0.0000  4 Pb 3.46, 4 Te 3.46, 2 La 3.55
La2 0.5000 0.0000 0.0000  4 Pb 3.46, 4 Te 3.46, 2 La 3.55
Te1 0.0000 0.0000 0.5000  8 La 3.46, 2 Pb 3.55
Pb1 0.5000 0.5000 0.5000  8 La 3.46, 2 Te 3.55

Space group: Cmmm
Formation energy without anion corrections (meV per atom): -930
Distance to the lowest polymorph of the same formula (meV per atom): 207
Total energy (eV for the cell shown): -20.42
Theoretical density (kg/m3): 8140

=====

Entry 6:
## La2TePb (PBE)

Data for crystalline La2TePb at its relaxed geometry.

Lattice parameters (Å, degrees): 3.8283 3.8283 8.5493 90.00 90.00 90.00
Last column: nearest neighbours and their distance in Å.
Element x y z (fractional)
La1 0.0000 0.0000 0.2372  4 Te 3.38, 4 Pb 3.52
La2 0.0000 0.0000 0.7628  4 Te 3.38, 4 Pb 3.52
Te1 0.5000 0.5000 0.0000  8 La 3.38
Pb1 0.5000 0.5000 0.5000  8 La 3.52, 4 Pb 3.83

Space group: P4/mmm
Formation energy without anion corrections (meV per atom): -1007
Distance to the lowest polymorph of the same formula (meV per atom): 131
Total energy (eV for the cell shown): -20.73
Theoretical density (kg/m3): 8119

=====

Entry 7:
## LaTePb2 (PBE)

Data for crystalline LaTePb2 at its relaxed geometry.

Lattice parameters (Å, degrees): 7.2358 7.2358 7.2358 101.51 101.51 126.94
Last column: nearest neighbours and their distance in Å.
Element x y z (fractional)
La1 0.0000 0.0000 0.0000  2 Te 3.23, 4 Pb 3.43
La2 0.7500 0.2500 0.5000  2 Te 3.23, 4 Pb 3.43
Te1 0.2500 0.7500 0.5000  2 La 3.23, 4 Pb 3.24
Te2 0.5000 0.5000 0.0000  2 La 3.23, 4 Pb 3.24
Pb1 0.1402 0.6250 0.0152  2 Te 3.24, 2 Pb 3.24, 2 La 3.43
Pb2 0.3750 0.3902 0.5152  2 Te 3.24, 2 Pb 3.24, 2 La 3.43
Pb3 0.6098 0.1250 0.9848  2 Te 3.24, 2 Pb 3.24, 2 La 3.43
Pb4 0.8750 0.8598 0.4848  2 Te 3.24, 2 Pb 3.24, 2 La 3.43

Space group: I-42d
Formation energy without anion corrections (meV per atom): -301
Total energy (eV for the cell shown): -33.38
Theoretical density (kg/m3): 8347

=====

Entry 8:
## La6Te5Pb (PBE)

Data for crystalline La6Te5Pb at its relaxed geometry.

Lattice parameters (Å, degrees): 7.9694 7.9694 7.9861 99.56 99.56 119.96
Last column: nearest neighbours and their distance in Å.
Element x y z (fractional)
La1 0.0829 0.4141 0.7488  1 Pb 3.24, 5 Te 3.25-3.27
La2 0.2484 0.2484 0.2510  1 Pb 3.24, 5 Te 3.26-3.27
La3 0.4141 0.0829 0.7488  1 Pb 3.24, 5 Te 3.25-3.27
La4 0.5859 0.9171 0.2512  1 Pb 3.24, 5 Te 3.25-3.27
La5 0.7516 0.7516 0.7490  1 Pb 3.24, 5 Te 3.26-3.27
La6 0.9171 0.5859 0.2512  1 Pb 3.24, 5 Te 3.25-3.27
Te1 0.1671 0.8329 0.0000  6 La 3.25-3.27
Te2 0.3332 0.6668 0.5000  6 La 3.26
Te3 0.5000 0.5000 0.0000  6 La 3.25-3.27
Te4 0.6668 0.3332 0.5000  6 La 3.26
Te5 0.8329 0.1671 0.0000  6 La 3.25-3.27
Pb1 0.0000 0.0000 0.5000  6 La 3.24

Space group: C2/m
Formation energy without anion corrections (meV per atom): -1456
Total energy (eV for the cell shown): -66.45
Theoretical density (kg/m3): 6725

=====

Entry 9:
## La4TePb (PBE)

Data for crystalline La4TePb at its relaxed geometry.

Lattice parameters (Å, degrees): 6.5117 6.5117 6.5117 60.00 60.00 60.00
Last column: nearest neighbours and their distance in Å.
Element x y z (fractional)
La1 0.1241 0.1241 0.1241  6 La 3.23-3.28
La2 0.1241 0.1241 0.6278  6 La 3.23-3.28
La3 0.1241 0.6278 0.1241  6 La 3.23-3.28
La4 0.6278 0.1241 0.1241  6 La 3.23-3.28
Te1 0.5000 0.5000 0.5000  12 La 3.82, 4 Pb 3.99
Pb1 0.7500 0.7500 0.7500  12 La 3.82, 4 Te 3.99

Space group: F-43m
Formation energy without anion corrections (meV per atom): -201
Distance to the lowest polymorph of the same formula (meV per atom): 358
Total energy (eV for the cell shown): -27.77
Theoretical density (kg/m3): 7573

=====

Entry 10:
## La2TePb (PBE)

Data for crystalline La2TePb at its relaxed geometry.

Lattice parameters (Å, degrees): 4.6403 4.6403 6.5504 90.00 90.00 90.00
Last column: nearest neighbours and their distance in Å.
Element x y z (fractional)
La1 0.0000 0.0000 0.0000  2 Te 3.28, 4 Pb 3.28
La2 0.5000 0.5000 0.5000  2 Pb 3.28, 4 Te 3.28
Te1 0.0000 0.0000 0.5000  6 La 3.28
Pb1 0.5000 0.5000 0.0000  6 La 3.28

Space group: P4/mmm
Formation energy without anion corrections (meV per atom): -1137
Distance to the lowest polymorph of the same formula (meV per atom): 0
Total energy (eV for the cell shown): -21.25
Theoretical density (kg/m3): 7212

=====

Entry 11:
## La10Te3Pb3 (PBE)

Data for crystalline La10Te3Pb3 at its relaxed geometry.

Lattice parameters (Å, degrees): 9.6318 9.6318 6.6834 90.00 90.00 120.00
Last column: nearest neighbours and their distance in Å.
Element x y z (fractional)
La1 0.0000 0.2534 0.0000  3 Pb 3.27-3.47, 2 Te 3.56
La2 0.0000 0.7475 0.5000  3 Te 3.24-3.52, 2 Pb 3.58
La3 0.2534 0.0000 0.0000  3 Pb 3.27-3.47, 2 Te 3.56
La4 0.2525 0.2525 0.5000  3 Te 3.24-3.52, 2 Pb 3.58
La5 0.3333 0.6667 0.2535  2 La 3.29-3.39, 3 Te 3.43, 3 Pb 3.44
La6 0.3333 0.6667 0.7465  2 La 3.29-3.39, 3 Te 3.43, 3 Pb 3.44
La7 0.6667 0.3333 0.2535  2 La 3.29-3.39, 3 Te 3.43, 3 Pb 3.44
La8 0.6667 0.3333 0.7465  2 La 3.29-3.39, 3 Te 3.43, 3 Pb 3.44
La9 0.7475 0.0000 0.5000  3 Te 3.24-3.52, 2 Pb 3.58
La10 0.7466 0.7466 0.0000  3 Pb 3.27-3.47, 2 Te 3.56
Te1 0.0000 0.3823 0.5000  9 La 3.24-3.56
Te2 0.3823 0.0000 0.5000  9 La 3.24-3.56
Te3 0.6177 0.6177 0.5000  9 La 3.24-3.56
Pb1 0.0000 0.6141 0.0000  9 La 3.27-3.58
Pb2 0.3859 0.3859 0.0000  9 La 3.27-3.58
Pb3 0.6141 0.0000 0.0000  9 La 3.27-3.58

Space group: P-62m
Formation energy without anion corrections (meV per atom): -868
Total energy (eV for the cell shown): -83.71
Theoretical density (kg/m3): 7402

=====

Question: Which value of theoretical density does entry 3 give?
Answer: 7071 kg/m3